Density functional theory data (GGA-PBE) for CaDyPd6 after structural relaxation.

Computed properties:
Its formation energy is -15.30 kcal/mol of atoms. For the total energy, the calculation gives -5.38 eV/atom. The calculation puts the energy above the lowest structure with this stoichiometry at 0.00 kJ/mol of atoms. For the volume, the calculation gives 141.5 Å³/cell.

Lattice parameters (Å, degrees): 5.8978 5.8978 4.6977 90.00 90.00 120.00
Atoms (fractional coordinates):
Ca 0.0000 0.0000 0.0000
Dy 0.3333 0.6667 0.5000
Pd 0.3447 0.1723 0.5000
Pd 0.5045 0.0090 0.0000
Pd 0.5045 0.4955 0.0000
Pd 0.8277 0.1723 0.5000
Pd 0.8277 0.6553 0.5000
Pd 0.9910 0.4955 0.0000